No. 1
Density functional theory data (PBE-GGA) for a relaxed AlMo2Br crystal.

a b c (Å): 5.2330 5.2330 5.2330
angles (deg): 136.31 136.31 63.51
With the nearest neighbours (Å) after each atom.
Positions (direct):
1 Al 0.2500 0.7500 0.5000  4 Br 2.75, 8 Mo 2.96
2 Mo 0.0000 0.0000 0.0000  4 Mo 2.75, 4 Br 2.96, 4 Al 2.96
3 Mo 0.5000 0.5000 0.0000  4 Mo 2.75, 4 Al 2.96, 4 Br 2.96
4 Br 0.7500 0.2500 0.5000  4 Al 2.75, 8 Mo 2.96

SG: I4/mmm (139)
distance to the lowest polymorph of the same formula: 73.7 kJ per mole of atoms

No. 2
Density functional theory data (PBE-GGA) for a relaxed AlMo2Br crystal.

a b c (Å): 4.6036 3.2950 5.6209
angles (deg): 101.98 90.00 90.00
With the nearest neighbours (Å) after each atom.
Positions (direct):
1 Mo 0.0000 0.9262 0.0885  2 Mo 2.35-2.50, 2 Al 2.62
2 Mo 0.0000 0.5738 0.4115  2 Mo 2.35-2.50, 2 Al 2.62
3 Al 0.5000 0.2500 0.2500  4 Mo 2.62
4 Br 0.5000 0.7500 0.7500  2 Al 2.95, 4 Mo 2.97, 2 Br 3.30

SG: P2/m (10)
distance to the lowest polymorph of the same formula: 30.6 kJ per mole of atoms

No. 3
Density functional theory data (PBE-GGA) for a relaxed Al2MoBr crystal.

a b c (Å): 5.1711 5.1711 5.1711
angles (deg): 134.34 134.34 66.55
With the nearest neighbours (Å) after each atom.
Positions (direct):
1 Br 0.2500 0.7500 0.5000  4 Mo 2.84, 8 Al 2.95
2 Mo 0.7500 0.2500 0.5000  4 Br 2.84, 8 Al 2.95
3 Al 0.5000 0.5000 0.0000  4 Al 2.84, 4 Mo 2.95, 4 Br 2.95
4 Al 0.0000 0.0000 0.0000  4 Al 2.84, 4 Mo 2.95, 4 Br 2.95

SG: I4/mmm (139)
distance to the lowest polymorph of the same formula: 43.5 kJ per mole of atoms

No. 4
Density functional theory data (PBE-GGA) for a relaxed AlMo2Br crystal.

a b c (Å): 8.4499 8.4499 8.4499
angles (deg): 21.60 21.60 21.60
With the nearest neighbours (Å) after each atom.
Positions (direct):
1 Mo 0.2527 0.2527 0.2527  3 Mo 2.57, 3 Al 2.73
2 Mo 0.9921 0.9921 0.9921  3 Mo 2.57
3 Al 0.5040 0.5040 0.5040  3 Mo 2.73, 3 Br 2.81
4 Br 0.7512 0.7512 0.7512  3 Al 2.81, 3 Mo 2.93

SG: R3m (160)
distance to the lowest polymorph of the same formula: 6.4 kJ per mole of atoms

No. 5
Density functional theory data (PBE-GGA) for a relaxed AlMo2Br crystal.

a b c (Å): 3.0130 3.0130 8.6923
angles (deg): 90.00 90.00 115.38
With the nearest neighbours (Å) after each atom.
Positions (direct):
1 Al 0.0000 0.0000 0.4878  2 Mo 2.65, 2 Br 2.77
2 Mo 0.5000 0.5000 0.2452  2 Mo 2.53, 2 Al 2.65
3 Mo 0.0000 0.0000 0.0203  2 Mo 2.53
4 Br 0.5000 0.5000 0.7467  2 Al 2.77, 2 Mo 2.87, 4 Br 3.01

SG: Cmm2 (35)
distance to the lowest polymorph of the same formula: 19.1 kJ per mole of atoms

No. 6
Density functional theory data (PBE-GGA) for a relaxed AlMo2Br crystal.

a b c (Å): 9.0012 9.0012 9.0012
angles (deg): 18.90 18.90 18.90
With the nearest neighbours (Å) after each atom.
Positions (direct):
1 Br 0.7500 0.7500 0.7500  6 Mo 2.79, 6 Br 2.96
2 Mo 0.5000 0.5000 0.5000  3 Al 2.79, 3 Br 2.79, 6 Mo 2.96
3 Mo 0.0000 0.0000 0.0000  3 Al 2.79, 3 Br 2.79, 6 Mo 2.96
4 Al 0.2500 0.2500 0.2500  6 Mo 2.79, 6 Al 2.96

SG: R-3m (166)
distance to the lowest polymorph of the same formula: 30.3 kJ per mole of atoms

No. 7
Density functional theory data (PBE-GGA) for a relaxed Al2MoBr crystal.

a b c (Å): 3.5261 3.5282 7.5551
angles (deg): 90.00 90.00 90.00
With the nearest neighbours (Å) after each atom.
Positions (direct):
1 Mo 0.5000 0.5000 0.8991  5 Al 2.45-2.54
2 Al 0.5000 0.5000 0.2234  1 Mo 2.45
3 Al 0.0000 0.0000 0.9658  4 Mo 2.54
4 Br 0.0000 0.0000 0.4117  4 Al 2.87

SG: P4mm (99)
distance to the lowest polymorph of the same formula: 30.7 kJ per mole of atoms

No. 8
Density functional theory data (PBE-GGA) for a relaxed AlMo2Br crystal.

a b c (Å): 4.9365 4.9365 4.8165
angles (deg): 72.83 72.83 36.60
With the nearest neighbours (Å) after each atom.
Positions (direct):
1 Br 0.2567 0.2567 0.2365  5 Mo 2.64-2.79, 2 Al 2.95
2 Mo 0.0123 0.0123 0.0217  2 Mo 2.74, 3 Br 2.77-2.79, 4 Al 2.81-2.94
3 Mo 0.7437 0.7437 0.6884  2 Br 2.64, 3 Al 2.67-2.68, 2 Mo 2.74
4 Al 0.4873 0.4873 0.5534  7 Mo 2.67-2.94, 2 Br 2.95

SG: Cm (8)
distance to the lowest polymorph of the same formula: 32.5 kJ per mole of atoms

Number 1: formation energy from raw total energies 932 meV/atom, V 16.87 A^3/atom. Number 2: formation energy from raw total energies 486 meV/atom, V 20.85 A^3/atom. Number 3: formation energy from raw total energies 515 meV/atom, V 17.40 A^3/atom. Number 4: formation energy from raw total energies 234 meV/atom, V 17.92 A^3/atom. Number 5: formation energy from raw total energies 365 meV/atom, V 17.82 A^3/atom. Number 6: formation energy from raw total energies 482 meV/atom, V 16.71 A^3/atom. Number 7: formation energy from raw total energies 382 meV/atom, V 23.50 A^3/atom. Number 8: formation energy from raw total energies 505 meV/atom, V 16.63 A^3/atom.